Computed, not measured: Na3Dy3TaO8 after structural relaxation at the PBE-GGA level of DFT.

Properties
The value obtained for the theoretical density is 6546 kg/m3. The value obtained for the volume is 14.6 Å³ per atom. As for the total energy: -110.4 eV for the cell shown. The formation energy without anion corrections is -2.740 eV per atom.

a = 6.703 Å, b = 6.704 Å, c = 6.842 Å
α = 119.34°, β = 90.00°, γ = 120.01°
Sites, in units of the cell vectors:
Na 0.000 0.000 0.000
Na 0.000 0.500 0.000
Na 0.500 0.500 0.000
Dy 0.500 0.000 0.500
Dy 0.500 0.500 0.500
Dy 0.000 0.500 0.500
Ta 0.000 0.000 0.500
O 0.260 0.519 0.279
O 0.740 0.481 0.721
O 0.785 0.570 0.304
O 0.215 0.430 0.696
O 0.785 0.018 0.304
O 0.215 0.982 0.696
O 0.233 0.018 0.304
O 0.767 0.982 0.696